# Er5AgPd2, optimized geometry, DFT GGA-PBE
data_Er5AgPd2
_chemical_formula_sum 'Er20 Ag4 Pd8'
_cell_length_a 7.741
_cell_length_b 7.741
_cell_length_c 13.201
_cell_angle_alpha 90.00
_cell_angle_beta 90.00
_cell_angle_gamma 90.00
_symmetry_space_group_name_H-M 'I 4/m c m'
_symmetry_Int_Tables_number 140
_symmetry_space_group_name_Hall '-I 4 2c'
loop_
_atom_site_label
_atom_site_fract_x
_atom_site_fract_y
_atom_site_fract_z
Er1 0.000 0.000 0.000
Er2 0.160 0.340 0.142
Ag1 0.000 0.000 0.250
Pd1 0.135 0.365 0.500
# spin magnetization: 0.0000 μB per atom
# total energy: -5.06 eV per atom
# formation enthalpy at 0 K: -551 meV per atom